Density functional theory data (PBE) for Ce2ScB2Ru5 after structural relaxation.

abc: 3.156 9.792 9.792
angles: 90.00 90.00 90.00
Element x y z (fractional)
1 Ce 0.000 0.676 0.176
2 Ce 0.000 0.324 0.824
3 Ce 0.000 0.176 0.324
4 Ce 0.000 0.824 0.676
5 Sc 0.000 0.000 0.000
6 Sc 0.000 0.500 0.500
7 B 0.000 0.122 0.622
8 B 0.000 0.878 0.378
9 B 0.000 0.622 0.878
10 B 0.000 0.378 0.122
11 Ru 0.500 0.223 0.072
12 Ru 0.500 0.777 0.928
13 Ru 0.500 0.072 0.777
14 Ru 0.500 0.723 0.428
15 Ru 0.500 0.928 0.223
16 Ru 0.500 0.277 0.572
17 Ru 0.500 0.572 0.723
18 Ru 0.500 0.428 0.277
19 Ru 0.500 0.500 0.000
20 Ru 0.500 0.000 0.500

- energy (eV per formula unit) = -83.07
- energy relative to the elements (eV per formula unit) = -5.14